Record 1
# PrNpZn (PBE, relaxed)
data_PrNpZn
_space_group_name_H-M_alt 'F -4 3 m'
_space_group_IT_number 216
_space_group_name_Hall 'F -4 2 3'
_cell_length_a 6.6964
_cell_length_b 6.6964
_cell_length_c 6.6964
_cell_angle_alpha 90.00
_cell_angle_beta 90.00
_cell_angle_gamma 90.00
loop_
_atom_site_label
_atom_site_type_symbol
_atom_site_fract_x
_atom_site_fract_y
_atom_site_fract_z
Pr1 Pr 0.0000 0.0000 0.0000
Np1 Np 0.2500 0.2500 0.7500
Zn1 Zn 0.2500 0.2500 0.2500
# Magnetization: 4.2 μB/f.u.
# Mass density: 9.81 g/cm³
# Formation energy: 0.9189 eV per atom

***

Record 2
# CsNaCoTc (PBE, relaxed)
data_CsNaCoTc
_space_group_name_H-M_alt 'F -4 3 m'
_space_group_IT_number 216
_space_group_name_Hall 'F -4 2 3'
_cell_length_a 7.0395
_cell_length_b 7.0395
_cell_length_c 7.0395
_cell_angle_alpha 90.00
_cell_angle_beta 90.00
_cell_angle_gamma 90.00
loop_
_atom_site_label
_atom_site_type_symbol
_atom_site_fract_x
_atom_site_fract_y
_atom_site_fract_z
Cs1 Cs 0.0000 0.0000 0.0000
Na1 Na 0.2500 0.2500 0.2500
Co1 Co 0.0000 0.0000 0.5000
Tc1 Tc 0.2500 0.2500 0.7500
# Magnetization: 3.9 μB/f.u.
# E_tot: -3.36 eV/atom
# Mass density: 5.96 g/cm³

***

The lowest mass density belongs to which entry?
CsNaCoTc